[1]
SbBrCl | Alexandria via LeMat-Bulk | SCAN | PBEsol geometry; density = 4.9 Mg/m³; SG = F-43m (216)
1.0
0.000 3.436 3.436
3.436 0.000 3.436
3.436 3.436 0.000
Sb Br Cl
1 1 1
Direct
0.000 0.000 0.000 Sb
0.500 0.500 0.500 Br
0.750 0.750 0.750 Cl

---

[2]
Na3VO4 | Alexandria via LeMat-Bulk | SCAN | PBEsol geometry; density = 2.6 Mg/m³; SG = Pmn2_1 (31)
1.0
7.031 0.000 0.000
0.000 6.088 0.000
0.000 0.000 5.535
Na V O
6 2 8
Direct
0.000 0.153 0.000 Na
0.245 0.325 0.498 Na
0.255 0.675 0.998 Na
0.500 0.847 0.500 Na
0.745 0.675 0.998 Na
0.755 0.325 0.498 Na
0.000 0.823 0.488 V
0.500 0.177 0.988 V
0.000 0.092 0.585 O
0.000 0.819 0.179 O
0.202 0.690 0.587 O
0.298 0.310 0.087 O
0.500 0.181 0.679 O
0.500 0.908 0.085 O
0.702 0.310 0.087 O
0.798 0.690 0.587 O

---

[3]
Ni3AgSb | Alexandria via LeMat-Bulk | SCAN | PBEsol geometry; density = 7.3 Mg/m³; SG = Pm-3m (221)
1.0
4.510 0.000 0.000
0.000 4.510 0.000
0.000 0.000 4.510
Ni Ag Sb
3 1 1
Direct
0.000 0.000 0.500 Ni
0.000 0.500 0.000 Ni
0.500 0.000 0.000 Ni
0.000 0.000 0.000 Ag
0.500 0.500 0.500 Sb

---

[4]
CuHgOF2 | Alexandria via LeMat-Bulk | SCAN | PBEsol geometry; density = 9.0 Mg/m³; SG = P4/mmm (123)
1.0
3.872 0.000 0.000
0.000 3.872 0.000
0.000 0.000 3.925
Cu Hg O F
1 1 1 2
Direct
0.000 0.000 0.000 Cu
0.500 0.500 0.500 Hg
0.000 0.000 0.500 O
0.000 0.500 0.000 F
0.500 0.000 0.000 F

---

[5]
In2AsSe | Alexandria via LeMat-Bulk | SCAN | PBEsol geometry; density = 7.2 Mg/m³; SG = F-43m (216)
1.0
0.000 3.541 3.541
3.541 0.000 3.541
3.541 3.541 0.000
In As Se
2 1 1
Direct
0.000 0.000 0.000 In
0.250 0.250 0.250 In
0.500 0.500 0.500 As
0.750 0.750 0.750 Se

---

[6]
YInGaAg2 | Alexandria via LeMat-Bulk | SCAN | PBEsol geometry; density = 6.7 Mg/m³; SG = P4/mmm (123); energy of formation from the pure elements = 0.1066 eV/atom
1.0
4.780 0.000 0.000
0.000 4.780 0.000
0.000 0.000 5.322
Y In Ga Ag
1 1 1 2
Direct
0.000 0.000 0.000 Y
0.500 0.500 0.000 In
0.000 0.000 0.500 Ga
0.000 0.500 0.500 Ag
0.500 0.000 0.500 Ag

---

Calculated uncorrected energy, -21.240 -9.238 -22.220 -20.294 -26.506 -27.955 eV/atom (same order as the records).